[1]
Compound: Mg2TlRe
Source: the Alexandria database
Functional: PBEsol
Structure: relaxed

Values from the calculation:
- E above lowest polymorph: 0 meV per atom
- Energy relative to the elements: 0.380 eV/atom

Cell lengths 2.825, 4.905, 5.277 Å; angles 90.00, 90.00, 90.00 degrees
Fractional positions:
Mg (0.000, 0.000, 0.000)
Mg (0.000, 0.500, 0.323)
Tl (0.500, 0.500, 0.802)
Re (0.500, 0.000, 0.489)

=====

[2]
Compound: Mg2TlRe
Source: the Alexandria database
Functional: PBEsol
Structure: relaxed

Values from the calculation:
- E above lowest polymorph: 87 meV per atom
- Energy relative to the elements: 0.467 eV/atom

Cell lengths 5.569, 5.569, 5.569 Å; angles 145.25, 131.39, 61.13 degrees
Fractional positions:
Mg (0.234, 0.234, 0.000)
Mg (0.766, 0.766, 0.000)
Tl (0.500, 0.000, 0.500)
Re (0.000, 0.500, 0.500)

=====

[3]
Compound: Mg2TlRe
Source: the Alexandria database
Functional: PBEsol
Structure: relaxed

Values from the calculation:
- E above lowest polymorph: 33 meV per atom
- Energy relative to the elements: 0.413 eV/atom

Cell lengths 2.887, 4.302, 5.892 Å; angles 90.00, 90.00, 90.00 degrees
Fractional positions:
Mg (0.000, 0.000, 0.224)
Mg (0.000, 0.000, 0.776)
Tl (0.500, 0.500, 0.500)
Re (0.500, 0.500, 0.000)